No. 1
# PBE TaBe2Tc, relaxed
data_TaBe2Tc
_cell_length_a 5.945
_cell_length_b 5.945
_cell_length_c 5.945
_cell_angle_alpha 90.00
_cell_angle_beta 90.00
_cell_angle_gamma 90.00
_symmetry_space_group_name_H-M 'F -4 3 m'
_symmetry_Int_Tables_number 216
_symmetry_space_group_name_Hall 'F -4 2 3'
loop_
_atom_site_label
_atom_site_type_symbol
_atom_site_fract_x
_atom_site_fract_y
_atom_site_fract_z
_atom_site_occupancy
Ta1 Ta 0.000 0.000 0.000 1
Be1 Be 0.000 0.000 0.500 1
Be2 Be 0.250 0.250 0.250 1
Tc1 Tc 0.250 0.250 0.750 1
# formation enthalpy at 0 K	81	meV/atom
# crystal system	cubic

***

No. 2
# PBE CdTc2PtPb, relaxed
data_CdTc2PtPb
_cell_length_a 5.105
_cell_length_b 5.105
_cell_length_c 5.202
_cell_angle_alpha 90.00
_cell_angle_beta 90.00
_cell_angle_gamma 90.00
_symmetry_space_group_name_H-M 'P 4/m m m'
_symmetry_Int_Tables_number 123
_symmetry_space_group_name_Hall '-P 4 2'
loop_
_atom_site_label
_atom_site_type_symbol
_atom_site_fract_x
_atom_site_fract_y
_atom_site_fract_z
_atom_site_occupancy
Cd1 Cd 0.000 0.000 0.000 1
Tc1 Tc 0.000 0.500 0.500 1
Pt1 Pt 0.500 0.500 0.000 1
Pb1 Pb 0.000 0.000 0.500 1
# formation enthalpy at 0 K	2163	meV/atom
# crystal system	tetragonal

***

No. 3
# PBE Zr3H12Ir5, relaxed
data_Zr3H12Ir5
_cell_length_a 11.336
_cell_length_b 11.336
_cell_length_c 11.336
_cell_angle_alpha 90.00
_cell_angle_beta 90.00
_cell_angle_gamma 90.00
_symmetry_space_group_name_H-M 'I a -3 d'
_symmetry_Int_Tables_number 230
_symmetry_space_group_name_Hall '-I 4bd 2c 3'
loop_
_atom_site_label
_atom_site_type_symbol
_atom_site_fract_x
_atom_site_fract_y
_atom_site_fract_z
_atom_site_occupancy
Zr1 Zr 0.000 0.250 0.125 1
H1 H 0.027 0.059 0.646 1
Ir1 Ir 0.000 0.000 0.000 1
Ir2 Ir 0.000 0.250 0.375 1
# total energy	-5.568	eV/atom
# crystal system	cubic

***

No. 4
# PBE MnMoHPb2, relaxed
data_MnMoHPb2
_cell_length_a 4.816
_cell_length_b 4.816
_cell_length_c 3.495
_cell_angle_alpha 90.00
_cell_angle_beta 90.00
_cell_angle_gamma 90.00
_symmetry_space_group_name_H-M 'P 4/m m m'
_symmetry_Int_Tables_number 123
_symmetry_space_group_name_Hall '-P 4 2'
loop_
_atom_site_label
_atom_site_type_symbol
_atom_site_fract_x
_atom_site_fract_y
_atom_site_fract_z
_atom_site_occupancy
Mn1 Mn 0.000 0.000 0.000 1
Mo1 Mo 0.500 0.500 0.000 1
H1 H 0.500 0.500 0.500 1
Pb1 Pb 0.000 0.500 0.500 1
# total energy	-5.286	eV/atom
# crystal system	tetragonal

***

no.,N(E_F) (states/eV/atom),mass density (g cm⁻³)
1,0.2516,9.39
2,1.1823,8.70
3,0.5639,11.37
4,1.5833,11.60